Entry 1:
# FeTc2BiO (GGA+U, optimized geometry)
# **Crystal system**: tetragonal
# **Total energy**: -23.132 eV for the cell shown
# **Space group**: P4/mmm
data_FeTc2BiO
_chemical_formula_sum 'Fe1 Tc2 Bi1 O1'
_cell_length_a 5.415
_cell_length_b 5.276
_cell_length_c 5.415
_cell_angle_alpha 90.00
_cell_angle_beta 90.00
_cell_angle_gamma 90.00
_space_group_name_H-M_alt 'P 1'
_space_group_IT_number 1
_space_group_name_Hall 'P 1'
loop_
_atom_site_label
_atom_site_fract_x
_atom_site_fract_y
_atom_site_fract_z
Fe1 0.000 0.500 0.000
Bi1 0.000 0.000 0.000
O1 0.500 0.500 0.500
Tc1 0.000 0.000 0.500
Tc2 0.500 0.000 0.000

=====

Entry 2:
# FeTcBi2O6 (GGA+U, optimized geometry)
# **Crystal system**: monoclinic
# **Total energy**: -132.515 eV for the cell shown
# **Space group**: P2_1/c
data_FeTcBi2O6
_chemical_formula_sum 'Fe2 Tc2 Bi4 O12'
_cell_length_a 5.551
_cell_length_b 5.961
_cell_length_c 7.845
_cell_angle_alpha 90.00
_cell_angle_beta 89.41
_cell_angle_gamma 90.00
_space_group_name_H-M_alt 'P 1'
_space_group_IT_number 1
_space_group_name_Hall 'P 1'
loop_
_atom_site_label
_atom_site_fract_x
_atom_site_fract_y
_atom_site_fract_z
Fe1 0.500 0.000 0.000
Fe2 0.000 0.500 0.500
Tc1 0.500 0.000 0.500
Tc2 0.000 0.500 0.000
Bi1 0.013 0.943 0.253
Bi2 0.513 0.557 0.753
Bi3 0.987 0.057 0.747
Bi4 0.487 0.443 0.247
O1 0.312 0.675 0.044
O2 0.812 0.825 0.544
O3 0.688 0.325 0.956
O4 0.188 0.175 0.456
O5 0.326 0.705 0.444
O6 0.826 0.795 0.944
O7 0.674 0.295 0.556
O8 0.174 0.205 0.056
O9 0.885 0.539 0.248
O10 0.384 0.961 0.748
O11 0.115 0.461 0.752
O12 0.616 0.039 0.252

=====

Entry 3:
# FeBiTeO5 (GGA+U, optimized geometry)
# **Crystal system**: monoclinic
# **Total energy**: -91.403 eV for the cell shown
# **Space group**: C2/c
data_FeBiTeO5
_chemical_formula_sum 'Fe2 Bi2 Te2 O10'
_cell_length_a 6.663
_cell_length_b 6.663
_cell_length_c 8.708
_cell_angle_alpha 109.51
_cell_angle_beta 109.51
_cell_angle_gamma 114.46
_space_group_name_H-M_alt 'P 1'
_space_group_IT_number 1
_space_group_name_Hall 'P 1'
loop_
_atom_site_label
_atom_site_fract_x
_atom_site_fract_y
_atom_site_fract_z
Fe1 0.236 0.764 0.250
Fe2 0.764 0.236 0.750
Bi1 0.000 0.000 0.500
Bi2 0.000 0.000 0.000
Te1 0.750 0.250 0.250
Te2 0.250 0.750 0.750
O1 0.071 0.929 0.250
O2 0.929 0.071 0.750
O3 0.995 0.394 0.126
O4 0.005 0.606 0.874
O5 0.606 0.005 0.374
O6 0.394 0.995 0.626
O7 0.833 0.575 0.433
O8 0.167 0.425 0.567
O9 0.425 0.167 0.067
O10 0.575 0.833 0.933

=====

Entry 4:
# FeBiTe2O6 (GGA+U, optimized geometry)
# **Crystal system**: monoclinic
# **Total energy**: -111.600 eV for the cell shown
# **Space group**: C2/c
data_FeBiTe2O6
_chemical_formula_sum 'Fe2 Bi2 Te4 O12'
_cell_length_a 8.299
_cell_length_b 7.424
_cell_length_c 7.424
_cell_angle_alpha 60.65
_cell_angle_beta 56.03
_cell_angle_gamma 56.03
_space_group_name_H-M_alt 'P 1'
_space_group_IT_number 1
_space_group_name_Hall 'P 1'
loop_
_atom_site_label
_atom_site_fract_x
_atom_site_fract_y
_atom_site_fract_z
Fe1 0.250 0.309 0.691
Fe2 0.750 0.691 0.309
Bi1 0.250 0.824 0.176
Bi2 0.750 0.176 0.824
Te1 0.249 0.780 0.713
Te2 0.251 0.287 0.220
Te3 0.751 0.220 0.287
Te4 0.749 0.713 0.780
O1 0.271 0.987 0.779
O2 0.229 0.221 0.013
O3 0.729 0.013 0.221
O4 0.771 0.779 0.987
O5 0.330 0.925 0.374
O6 0.170 0.626 0.075
O7 0.670 0.075 0.626
O8 0.830 0.374 0.925
O9 0.050 0.638 0.589
O10 0.450 0.411 0.362
O11 0.950 0.362 0.411
O12 0.550 0.589 0.638

=====

Entry 5:
# FeBi2TeO6 (GGA+U, optimized geometry)
# **Crystal system**: monoclinic
# **Total energy**: -114.874 eV for the cell shown
# **Space group**: P2_1/c
data_FeBi2TeO6
_chemical_formula_sum 'Fe2 Bi4 Te2 O12'
_cell_length_a 5.674
_cell_length_b 6.179
_cell_length_c 8.067
_cell_angle_alpha 90.00
_cell_angle_beta 89.56
_cell_angle_gamma 90.00
_space_group_name_H-M_alt 'P 1'
_space_group_IT_number 1
_space_group_name_Hall 'P 1'
loop_
_atom_site_label
_atom_site_fract_x
_atom_site_fract_y
_atom_site_fract_z
Fe1 0.500 0.000 0.000
Fe2 0.000 0.500 0.500
Bi1 0.013 0.951 0.240
Bi2 0.513 0.549 0.740
Bi3 0.987 0.049 0.760
Bi4 0.487 0.451 0.260
Te1 0.500 0.000 0.500
Te2 0.000 0.500 0.000
O1 0.320 0.683 0.066
O2 0.820 0.817 0.566
O3 0.680 0.317 0.934
O4 0.180 0.183 0.434
O5 0.335 0.682 0.452
O6 0.835 0.818 0.952
O7 0.665 0.318 0.548
O8 0.165 0.182 0.048
O9 0.870 0.548 0.258
O10 0.370 0.952 0.758
O11 0.130 0.452 0.742
O12 0.630 0.048 0.242

=====

Entry 6:
# TiFeBi2O6 (GGA+U, optimized geometry)
# **Crystal system**: monoclinic
# **Total energy**: -138.100 eV for the cell shown
# **Space group**: P2_1/c
data_TiFeBi2O6
_chemical_formula_sum 'Ti2 Fe2 Bi4 O12'
_cell_length_a 5.520
_cell_length_b 5.869
_cell_length_c 7.805
_cell_angle_alpha 90.00
_cell_angle_beta 88.89
_cell_angle_gamma 90.00
_space_group_name_H-M_alt 'P 1'
_space_group_IT_number 1
_space_group_name_Hall 'P 1'
loop_
_atom_site_label
_atom_site_fract_x
_atom_site_fract_y
_atom_site_fract_z
Ti1 0.500 0.000 0.500
Ti2 0.000 0.500 0.000
Fe1 0.500 0.000 0.000
Fe2 0.000 0.500 0.500
Bi1 0.012 0.945 0.250
Bi2 0.512 0.555 0.750
Bi3 0.988 0.055 0.750
Bi4 0.488 0.445 0.250
O1 0.298 0.677 0.048
O2 0.798 0.823 0.548
O3 0.702 0.323 0.952
O4 0.202 0.177 0.452
O5 0.329 0.709 0.448
O6 0.829 0.791 0.948
O7 0.671 0.291 0.552
O8 0.171 0.209 0.052
O9 0.892 0.535 0.245
O10 0.392 0.965 0.745
O11 0.108 0.465 0.755
O12 0.608 0.035 0.255

=====

Entry 7:
# TiFeBi2O6 (GGA+U, optimized geometry)
# **Crystal system**: monoclinic
# **Total energy**: -68.461 eV for the cell shown
# **Space group**: C2
data_TiFeBi2O6
_chemical_formula_sum 'Ti1 Fe1 Bi2 O6'
_cell_length_a 5.151
_cell_length_b 4.588
_cell_length_c 6.980
_cell_angle_alpha 109.18
_cell_angle_beta 90.91
_cell_angle_gamma 90.00
_space_group_name_H-M_alt 'P 1'
_space_group_IT_number 1
_space_group_name_Hall 'P 1'
loop_
_atom_site_label
_atom_site_fract_x
_atom_site_fract_y
_atom_site_fract_z
Ti1 0.169 0.370 0.446
Fe1 0.669 0.873 0.446
Bi1 0.919 0.864 0.943
Bi2 0.418 0.367 0.949
O1 0.005 0.363 0.942
O2 0.395 0.534 0.304
O3 0.399 0.208 0.590
O4 0.333 0.867 0.949
O5 0.938 0.063 0.301
O6 0.942 0.676 0.588

=====

Entry 8:
# Ti3FeBi5O15 (GGA+U, optimized geometry)
# **Crystal system**: monoclinic
# **Energy relative to the lowest polymorph listed for this composition**: 0.0000 eV/atom
# **Space group**: P2_1
data_Ti3FeBi5O15
_chemical_formula_sum 'Ti6 Fe2 Bi10 O30'
_cell_length_a 5.553
_cell_length_b 5.498
_cell_length_c 20.950
_cell_angle_alpha 82.51
_cell_angle_beta 90.00
_cell_angle_gamma 90.00
_space_group_name_H-M_alt 'P 1'
_space_group_IT_number 1
_space_group_name_Hall 'P 1'
loop_
_atom_site_label
_atom_site_fract_x
_atom_site_fract_y
_atom_site_fract_z
Ti1 0.286 0.100 0.301
Ti2 0.289 0.400 0.697
Ti3 0.786 0.900 0.699
Ti4 0.789 0.600 0.303
Ti5 0.302 0.305 0.903
Ti6 0.802 0.695 0.097
Fe1 0.303 0.208 0.096
Fe2 0.803 0.792 0.904
Bi1 0.203 0.504 0.439
Bi2 0.200 0.943 0.562
Bi3 0.703 0.496 0.561
Bi4 0.700 0.057 0.438
Bi5 0.247 0.654 0.204
Bi6 0.242 0.856 0.794
Bi7 0.747 0.346 0.796
Bi8 0.742 0.144 0.206
Bi9 0.260 0.762 0.003
Bi10 0.760 0.238 0.997
O1 0.088 0.820 0.296
O2 0.091 0.112 0.704
O3 0.588 0.180 0.704
O4 0.591 0.888 0.296
O5 0.544 0.385 0.273
O6 0.542 0.652 0.726
O7 0.044 0.615 0.727
O8 0.042 0.348 0.274
O9 0.624 0.401 0.108
O10 0.624 0.490 0.893
O11 0.124 0.599 0.892
O12 0.124 0.510 0.107
O13 0.301 0.125 0.385
O14 0.296 0.508 0.614
O15 0.801 0.875 0.615
O16 0.796 0.492 0.386
O17 0.039 0.994 0.074
O18 0.045 0.078 0.923
O19 0.539 0.006 0.926
O20 0.545 0.922 0.077
O21 0.346 0.337 0.999
O22 0.846 0.663 0.001
O23 0.339 0.085 0.191
O24 0.338 0.273 0.812
O25 0.839 0.915 0.809
O26 0.838 0.727 0.188
O27 0.979 0.740 0.499
O28 0.979 0.239 0.501
O29 0.479 0.260 0.501
O30 0.479 0.761 0.499

=====

Copy entry 3 word for word.
# FeBiTeO5 (GGA+U, optimized geometry)
# **Crystal system**: monoclinic
# **Total energy**: -91.403 eV for the cell shown
# **Space group**: C2/c
data_FeBiTeO5
_chemical_formula_sum 'Fe2 Bi2 Te2 O10'
_cell_length_a 6.663
_cell_length_b 6.663
_cell_length_c 8.708
_cell_angle_alpha 109.51
_cell_angle_beta 109.51
_cell_angle_gamma 114.46
_space_group_name_H-M_alt 'P 1'
_space_group_IT_number 1
_space_group_name_Hall 'P 1'
loop_
_atom_site_label
_atom_site_fract_x
_atom_site_fract_y
_atom_site_fract_z
Fe1 0.236 0.764 0.250
Fe2 0.764 0.236 0.750
Bi1 0.000 0.000 0.500
Bi2 0.000 0.000 0.000
Te1 0.750 0.250 0.250
Te2 0.250 0.750 0.750
O1 0.071 0.929 0.250
O2 0.929 0.071 0.750
O3 0.995 0.394 0.126
O4 0.005 0.606 0.874
O5 0.606 0.005 0.374
O6 0.394 0.995 0.626
O7 0.833 0.575 0.433
O8 0.167 0.425 0.567
O9 0.425 0.167 0.067
O10 0.575 0.833 0.933

=====

Repeat the third record exactly.
# FeBiTeO5 (GGA+U, optimized geometry)
# **Crystal system**: monoclinic
# **Total energy**: -91.403 eV for the cell shown
# **Space group**: C2/c
data_FeBiTeO5
_chemical_formula_sum 'Fe2 Bi2 Te2 O10'
_cell_length_a 6.663
_cell_length_b 6.663
_cell_length_c 8.708
_cell_angle_alpha 109.51
_cell_angle_beta 109.51
_cell_angle_gamma 114.46
_space_group_name_H-M_alt 'P 1'
_space_group_IT_number 1
_space_group_name_Hall 'P 1'
loop_
_atom_site_label
_atom_site_fract_x
_atom_site_fract_y
_atom_site_fract_z
Fe1 0.236 0.764 0.250
Fe2 0.764 0.236 0.750
Bi1 0.000 0.000 0.500
Bi2 0.000 0.000 0.000
Te1 0.750 0.250 0.250
Te2 0.250 0.750 0.750
O1 0.071 0.929 0.250
O2 0.929 0.071 0.750
O3 0.995 0.394 0.126
O4 0.005 0.606 0.874
O5 0.606 0.005 0.374
O6 0.394 0.995 0.626
O7 0.833 0.575 0.433
O8 0.167 0.425 0.567
O9 0.425 0.167 0.067
O10 0.575 0.833 0.933